[1]
First-principles (PBE) data for a relaxed LiPa2MnS5 crystal, as listed in the Alexandria database.

Cell lengths 3.748, 8.162, 11.386 Å; angles 90.00, 90.00, 103.27 degrees
Each line ends with the local moment (μB).
Element x y z (fractional)
Li: 0.815 0.630 0.496  0.00
Li: 0.185 0.370 0.996  0.00
Pa: 0.866 0.731 0.805  -0.55
Pa: 0.119 0.238 0.680  -0.61
Pa: 0.134 0.269 0.305  -0.55
Pa: 0.881 0.762 0.180  -0.61
Mn: 0.490 0.980 0.984  3.27
Mn: 0.510 0.020 0.484  3.27
S: 0.345 0.690 0.998  0.03
S: 0.688 0.376 0.840  0.03
S: 0.497 0.994 0.786  0.02
S: 0.296 0.592 0.658  0.03
S: 0.961 0.921 0.576  0.02
S: 0.655 0.310 0.498  0.03
S: 0.312 0.624 0.340  0.03
S: 0.503 0.006 0.286  0.02
S: 0.704 0.408 0.158  0.03
S: 0.039 0.079 0.076  0.02

Computed properties:
As for the space group: Cmc2_1. The value obtained for the formation energy without anion corrections is -1.355 eV per atom. The calculation puts the total energy at -0.514 Ry per atom.

[2]
First-principles (PBE) data for a relaxed Ga2Ni3 crystal, as listed in the Alexandria database.

Cell lengths 3.965, 3.965, 4.926 Å; angles 90.00, 90.00, 120.00 degrees
Element x y z (fractional)
Ga: 0.667 0.333 0.814
Ga: 0.333 0.667 0.186
Ni: 0.667 0.333 0.332
Ni: 0.333 0.667 0.668
Ni: 0.000 0.000 0.000

Computed properties:
As for the space group: P-3m1. The calculation puts the total energy at -0.357 Ry per atom. As for the calculated formation energy: -0.18 eV/atom.

[3]
First-principles (PBE) data for a relaxed MgCuRh2Pb crystal, as listed in the Alexandria database.

Cell lengths 4.690, 4.738, 4.690 Å; angles 90.00, 90.00, 90.00 degrees
Element x y z (fractional)
Pb: 0.000 0.500 0.000
Mg: 0.500 0.500 0.500
Rh: 0.000 0.000 0.500
Rh: 0.500 0.000 0.000
Cu: 0.000 0.000 0.000

Computed properties:
As for the space group: P4/mmm. The calculation puts the total energy at -0.306 Ry per atom. As for the calculated formation energy: 0.66 eV/atom.

[4]
First-principles (PBE) data for a relaxed Ti3CdCl crystal, as listed in the Alexandria database.

Cell lengths 5.155, 5.155, 5.155 Å; angles 90.00, 90.00, 90.00 degrees
Each line ends with the local moment (μB).
Element x y z (fractional)
Cl: 0.500 0.500 0.500  0.01
Ti: 0.000 0.500 0.000  1.19
Ti: 0.000 0.000 0.500  1.46
Ti: 0.500 0.000 0.000  1.32
Cd: 0.000 0.000 0.000  0.00

Computed properties:
As for the space group: Pm-3m. The value obtained for the formation energy without anion corrections is 1.139 eV per atom. The calculation puts the total energy at -0.305 Ry per atom.

[5]
First-principles (PBE) data for a relaxed Sb2Au crystal, as listed in the Alexandria database.

Cell lengths 5.383, 5.383, 2.982 Å; angles 90.00, 90.00, 120.00 degrees
Element x y z (fractional)
Au: 0.000 0.000 0.000
Sb: 0.333 0.667 0.500
Sb: 0.667 0.333 0.500

Computed properties:
As for the space group: P6/mmm. The value obtained for the formation energy without anion corrections is 0.234 eV per atom. The calculation puts the total energy at -0.265 Ry per atom.

[6]
First-principles (PBE) data for a relaxed ZrCrGe crystal, as listed in the Alexandria database.

Cell lengths 4.167, 6.283, 7.671 Å; angles 90.00, 90.00, 90.00 degrees
Element x y z (fractional)
Cr: 0.000 0.846 0.175
Cr: 0.000 0.154 0.175
Cr: 0.500 0.346 0.675
Cr: 0.500 0.654 0.675
Ge: 0.000 0.288 0.860
Ge: 0.000 0.712 0.860
Ge: 0.500 0.788 0.360
Ge: 0.500 0.212 0.360
Zr: 0.000 0.000 0.561
Zr: 0.500 0.500 0.061
Zr: 0.000 0.500 0.438
Zr: 0.500 0.000 0.938

Computed properties:
As for the space group: Imm2. The calculation puts the total energy at -0.579 Ry per atom. As for the calculated formation energy: -0.28 eV/atom.